BaNbIn3 PBEsol relaxed; space group = Pm-3m, No. 221; formation enthalpy at 0 K = 1796 meV/atom
1.0
-3.743 4.051 -2.148
-2.432 0.596 5.363
3.887 4.274 1.288
Nb Ba In
1 1 3
Direct
0.500 0.500 0.500
0.000 0.000 0.000
0.000 0.000 0.500
0.000 0.500 0.000
0.500 0.000 0.000

***

Ba2NdInTe5 PBEsol relaxed; space group = Cmc2_1, No. 36; uncorrected formation energy = -1.2888 eV/atom
1.0
-2.795 3.164 1.737
-3.780 -8.795 3.938
8.410 1.346 11.079
Te Ba In Nd
10 4 2 2
Direct
0.504 0.008 0.261
0.292 0.584 0.665
0.689 0.378 0.857
0.496 0.992 0.761
0.360 0.721 0.001
0.953 0.905 0.557
0.640 0.279 0.501
0.311 0.622 0.357
0.708 0.416 0.165
0.047 0.095 0.057
0.882 0.764 0.182
0.128 0.257 0.315
0.872 0.743 0.815
0.118 0.236 0.682
0.556 0.113 0.938
0.444 0.887 0.438
0.210 0.420 0.015
0.790 0.580 0.515

***

Ba3InNi PBEsol relaxed; space group = Pm-3m, No. 221; formation enthalpy at 0 K = -15 meV/atom
1.0
5.795 0.000 0.000
0.000 5.795 0.000
0.000 0.000 5.795
Ba Ni In
3 1 1
Direct
0.000 0.500 0.000
0.500 0.000 0.000
0.000 0.000 0.500
0.000 0.000 0.000
0.500 0.500 0.500

***

BaInNi2 PBEsol relaxed; space group = P4/mmm, No. 123; formation enthalpy at 0 K = 299 meV/atom
1.0
-0.361 -2.878 1.372
3.637 -1.780 -2.775
3.250 1.243 3.463
Ni In Ba
2 1 1
Direct
0.000 0.000 0.500
0.000 0.500 0.000
0.500 0.000 0.000
0.500 0.500 0.500

***

BaInNi2 PBEsol relaxed; space group = I-4m2, No. 119; formation enthalpy at 0 K = 423 meV/atom
1.0
-2.998 0.553 2.620
-0.163 -3.964 0.651
4.918 2.178 2.084
In Ni Ba
1 2 1
Direct
0.250 0.750 0.500
0.000 0.000 0.000
0.750 0.250 0.500
0.500 0.500 0.000

***

BaInNi2 PBEsol relaxed; space group = R3m, No. 160; formation enthalpy at 0 K = -97 meV/atom
1.0
-0.031 -1.625 3.815
0.860 -4.019 0.549
6.179 -0.533 2.077
Ni Ba In
2 1 1
Direct
0.980 0.980 0.059
0.309 0.309 0.072
0.520 0.520 0.441
0.707 0.707 0.879